Compound: NaCdFeS3
Source: OQMD
Functional: PBE
Structure: relaxed

It has space group P2_1/m (No. 11), with a = 7.744 Å, b = 3.735 Å, c = 9.341 Å, α = 90.00°, β = 105.84° and γ = 90.00°. The inequivalent atoms are Na at (0.241, 0.250, 0.254), Cd at (0.328, 0.750, 0.891), Fe at (0.089, 0.250, 0.605), S at (0.062, 0.250, 0.833), S at (0.204, 0.750, 0.522) and S at (0.463, 0.750, 0.176).

Its calculated total energy is -4.325 eV/atom.